Entry from Alexandria via LeMat-Bulk: a relaxed Ca2ZrNbN4 crystal (PBE-GGA).

## Properties
Magnetic moment, Bohr magnetons per cell: 0.0
DOS(E_F), states/eV per atom: 0.211

a = 3.2588 Å, b = 5.6509 Å, c = 5.9017 Å
α = 108.50°, β = 90.00°, γ = 90.00°
Element x y z (fractional)
Ca 0.5000 0.0000 0.5000
Ca 0.0000 0.5000 0.5000
Zr 0.0000 0.0000 0.0000
Nb 0.5000 0.5000 0.0000
N 0.5000 0.2466 0.2156
N 0.5000 0.7534 0.7844
N 0.0000 0.2680 0.7839
N 0.0000 0.7320 0.2161

***

Entry from Alexandria via LeMat-Bulk: a relaxed CaZr2Nb3N6 crystal (PBE-GGA).

## Properties
Magnetic moment, Bohr magnetons per cell: 0.0
DOS(E_F), states/eV per atom: 0.358

a = 3.2154 Å, b = 6.4630 Å, c = 7.1900 Å
α = 103.20°, β = 102.92°, γ = 90.00°
Element x y z (fractional)
Ca 0.5000 0.0000 0.0000
Zr 0.8334 0.6660 0.6667
Zr 0.1666 0.3340 0.3333
Nb 0.5000 0.5000 0.0000
Nb 0.8341 0.1732 0.6682
Nb 0.1659 0.8268 0.3318
N 0.3282 0.9201 0.6565
N 0.6645 0.5842 0.3290
N 0.6718 0.0799 0.3435
N 0.9998 0.2664 0.9997
N 0.0002 0.7336 0.0003
N 0.3355 0.4158 0.6710

***

Entry from Alexandria via LeMat-Bulk: a relaxed CaNd5N6 crystal (PBE-GGA).

## Properties
Magnetic moment, Bohr magnetons per cell: 0.0
DOS(E_F), states/eV per atom: 0.646

a = 6.3046 Å, b = 6.3046 Å, c = 6.2978 Å
α = 99.59°, β = 99.59°, γ = 119.99°
Element x y z (fractional)
Ca 0.0000 0.0000 0.0000
Nd 0.8346 0.1654 0.5000
Nd 0.6668 0.3332 0.0000
Nd 0.5000 0.5000 0.5000
Nd 0.3332 0.6668 0.0000
Nd 0.1654 0.8346 0.5000
N 0.4266 0.0841 0.2528
N 0.9159 0.5734 0.7472
N 0.2572 0.2572 0.7449
N 0.7428 0.7428 0.2551
N 0.0841 0.4266 0.2528
N 0.5734 0.9159 0.7472

***

Entry from Alexandria via LeMat-Bulk: a relaxed Ca2Nd4N crystal (PBE-GGA).

## Properties
Magnetic moment, Bohr magnetons per cell: 0.0
DOS(E_F), states/eV per atom: 1.605

a = 5.1409 Å, b = 5.1409 Å, c = 9.8165 Å
α = 74.82°, β = 74.82°, γ = 90.00°
Element x y z (fractional)
Ca 0.6635 0.6635 0.6730
Ca 0.3365 0.3365 0.3270
Nd 0.8712 0.8712 0.2576
Nd 0.1288 0.1288 0.7424
Nd 0.0000 0.5000 0.0000
Nd 0.5000 0.0000 0.0000
N 0.0000 0.0000 0.0000

***

Entry from Alexandria via LeMat-Bulk: a relaxed CaNd3N4 crystal (PBE-GGA).

## Properties
Magnetic moment, Bohr magnetons per cell: 0.0
DOS(E_F), states/eV per atom: 0.465

a = 5.1201 Å, b = 5.1201 Å, c = 5.1201 Å
α = 90.00°, β = 90.00°, γ = 90.00°
Element x y z (fractional)
Ca 0.0000 0.0000 0.0000
Nd 0.0000 0.5000 0.5000
Nd 0.5000 0.0000 0.5000
Nd 0.5000 0.5000 0.0000
N 0.5000 0.0000 0.0000
N 0.0000 0.5000 0.0000
N 0.0000 0.0000 0.5000
N 0.5000 0.5000 0.5000

***

Entry from Alexandria via LeMat-Bulk: a relaxed Ca5NdN4 crystal (PBE-GGA).

## Properties
Magnetic moment, Bohr magnetons per cell: 0.0
DOS(E_F), states/eV per atom: 0.296

a = 3.6220 Å, b = 7.3454 Å, c = 8.0099 Å
α = 78.33°, β = 103.07°, γ = 90.00°
Element x y z (fractional)
Ca 0.8310 0.8705 0.6620
Ca 0.8462 0.2928 0.6925
Ca 0.1538 0.7072 0.3075
Ca 0.5000 0.5000 0.0000
Ca 0.1690 0.1295 0.3380
Nd 0.5000 0.0000 0.0000
N 0.3319 0.0928 0.6638
N 0.9970 0.7479 0.9940
N 0.6681 0.9072 0.3362
N 0.0030 0.2521 0.0060

***

Entry from Alexandria via LeMat-Bulk: a relaxed CaNdN2 crystal (PBE-GGA).

## Properties
Magnetic moment, Bohr magnetons per cell: 1.0
DOS(E_F), states/eV per atom: 0.724

a = 3.5756 Å, b = 3.5756 Å, c = 6.4220 Å
α = 73.84°, β = 73.84°, γ = 60.00°
Each line ends with the local moment (μB).
Element x y z (fractional)
Ca 0.4951 0.4951 0.5146  0.01
Nd 0.6684 0.6684 0.9948  -0.02
N 0.0803 0.0803 0.7591  0.27
N 0.2562 0.2562 0.2315  0.42

***

Entry from Alexandria via LeMat-Bulk: a relaxed CaNd2NpN4 crystal (PBE-GGA).

## Properties
Magnetic moment, Bohr magnetons per cell: 2.5
DOS(E_F), states/eV per atom: 0.681

a = 4.9957 Å, b = 4.9957 Å, c = 6.2348 Å
α = 113.62°, β = 113.62°, γ = 90.00°
Each line ends with the local moment (μB).
Element x y z (fractional)
Ca 0.4371 0.4371 0.0000  0.03
Nd 0.1871 0.6871 0.5000  0.04
Nd 0.6871 0.1871 0.5000  0.04
Np 0.9370 0.9370 0.0000  2.57
N 0.9372 0.4377 0.0000  -0.10
N 0.4377 0.9372 0.0000  -0.10
N 0.1475 0.1475 0.4208  -0.07
N 0.7267 0.7267 0.5792  -0.07

***

Entry from Alexandria via LeMat-Bulk: a relaxed Ca2Nd3NpN6 crystal (PBE-GGA).

## Properties
Magnetic moment, Bohr magnetons per cell: 1.6
DOS(E_F), states/eV per atom: 0.285

a = 6.1597 Å, b = 6.1597 Å, c = 6.1567 Å
α = 99.60°, β = 99.60°, γ = 119.89°
Each line ends with the local moment (μB).
Element x y z (fractional)
Ca 0.3338 0.6662 0.0000  0.01
Ca 0.6662 0.3338 0.0000  0.01
Nd 0.1674 0.8326 0.5000  0.04
Nd 0.8326 0.1674 0.5000  0.04
Nd 0.5000 0.5000 0.5000  0.05
Np 0.0000 0.0000 0.0000  1.67
N 0.9230 0.6294 0.7680  -0.06
N 0.7829 0.7829 0.2364  -0.05
N 0.0770 0.3706 0.2320  -0.06
N 0.6294 0.9230 0.7680  -0.06
N 0.2171 0.2171 0.7636  -0.05
N 0.3706 0.0770 0.2320  -0.06

***

Entry from Alexandria via LeMat-Bulk: a relaxed Ca2NdNpN4 crystal (PBE-GGA).

## Properties
Magnetic moment, Bohr magnetons per cell: 2.0
DOS(E_F), states/eV per atom: 0.531

a = 3.5555 Å, b = 6.1368 Å, c = 6.0692 Å
α = 109.46°, β = 90.00°, γ = 90.00°
Each line ends with the local moment (μB).
Element x y z (fractional)
Ca 0.5000 0.0000 0.5000  0.01
Ca 0.0000 0.5000 0.5000  0.01
Nd 0.5000 0.5000 0.0000  0.03
Np 0.0000 0.0000 0.0000  2.21
N 0.5000 0.2273 0.2251  -0.09
N 0.5000 0.7727 0.7749  -0.09
N 0.0000 0.2205 0.7865  -0.07
N 0.0000 0.7795 0.2135  -0.07

***

Entry from Alexandria via LeMat-Bulk: a relaxed Ca3Nd2NpN6 crystal (PBE-GGA).

## Properties
Magnetic moment, Bohr magnetons per cell: 1.0
DOS(E_F), states/eV per atom: 0.009

a = 6.1775 Å, b = 6.1775 Å, c = 6.1007 Å
α = 99.74°, β = 99.74°, γ = 120.07°
Each line ends with the local moment (μB).
Element x y z (fractional)
Ca 0.1608 0.8392 0.5000  0.00
Ca 0.8392 0.1608 0.5000  0.00
Ca 0.5000 0.5000 0.5000  0.00
Nd 0.3327 0.6673 0.0000  0.01
Nd 0.6673 0.3327 0.0000  0.01
Np 0.0000 0.0000 0.0000  1.25
N 0.9257 0.6287 0.7760  -0.04
N 0.7769 0.7769 0.2156  -0.04
N 0.0743 0.3713 0.2240  -0.04
N 0.6287 0.9257 0.7760  -0.04
N 0.2231 0.2231 0.7844  -0.04
N 0.3713 0.0743 0.2240  -0.04

***

Entry from Alexandria via LeMat-Bulk: a relaxed Ca2NdOsN4 crystal (PBE-GGA).

## Properties
Magnetic moment, Bohr magnetons per cell: 0.0
DOS(E_F), states/eV per atom: 0.417

a = 3.4756 Å, b = 6.0955 Å, c = 11.9363 Å
α = 90.00°, β = 90.00°, γ = 106.56°
Element x y z (fractional)
Ca 0.3712 0.7423 0.5347
Ca 0.6288 0.2577 0.0347
Ca 0.6288 0.2577 0.4653
Ca 0.3712 0.7423 0.9653
Nd 0.1089 0.2179 0.7500
Nd 0.8911 0.7821 0.2500
Os 0.8434 0.6868 0.7500
Os 0.1566 0.3132 0.2500
N 0.2698 0.5396 0.1365
N 0.7302 0.4604 0.6365
N 0.7302 0.4604 0.8635
N 0.2698 0.5396 0.3635
N 0.0000 0.0000 0.5000
N 0.0000 0.0000 0.0000
N 0.4240 0.8479 0.7500
N 0.5760 0.1521 0.2500

***

Number 1: formation energy from raw total energies -1.31 eV per atom. Number 2: formation energy from raw total energies -1.24 eV per atom. Number 3: formation energy from raw total energies -1.21 eV per atom. Number 4: formation energy from raw total energies -0.20 eV per atom. Number 5: formation energy from raw total energies -1.13 eV per atom. Number 6: formation energy from raw total energies -0.83 eV per atom. Number 7: formation energy from raw total energies -0.73 eV per atom. Number 8: formation energy from raw total energies -1.26 eV per atom. Number 9: formation energy from raw total energies -1.26 eV per atom. Number 10: formation energy from raw total energies -1.20 eV per atom. Number 11: formation energy from raw total energies -1.24 eV per atom. Number 12: formation energy from raw total energies -0.55 eV per atom.